Computed, not measured: a PBEsol-optimized structure of AlGaBi2 at the meta-GGA SCAN level of DFT. Values from VASP.

Cell and atoms, written as Quantum ESPRESSO input:
```
&SYSTEM
  ibrav = 0, nat = 8, ntyp = 3
/
ATOMIC_SPECIES
Al 26.98 Al.upf
Ga 69.72 Ga.upf
Bi 208.98 Bi.upf
CELL_PARAMETERS angstrom
-3.177 3.177 6.354
3.177 -3.177 6.354
3.177 3.177 -6.354
ATOMIC_POSITIONS crystal
Al 0.000 0.000 0.000
Al 0.750 0.250 0.500
Ga 0.250 0.750 0.500
Ga 0.500 0.500 0.000
Bi 0.127 0.625 0.002
Bi 0.375 0.377 0.502
Bi 0.623 0.125 0.998
Bi 0.875 0.873 0.498
```

Total magnetic moment in μB per atom: 0.00
Mass density in g/cm³: 6.664
Electronic total energy in eV/atom: -45.28
Symmetry: I-42d, No. 122